[1]
Computed, not measured: a relaxed structure of K2LiDyBr6 at the PBE level of DFT.

Values from the calculation:
**Symmetry**: P2_1/c
**Crystal system**: monoclinic

Cell lengths 7.592, 7.891, 13.144 Å; angles 90.00, 124.87, 90.00 degrees
Fractional coordinates of all 20 atoms:
K1 0.227 0.068 0.248
K2 0.227 0.432 0.748
K3 0.773 0.568 0.252
K4 0.773 0.932 0.752
Li1 0.000 0.000 0.500
Li2 0.000 0.500 0.000
Dy1 0.500 0.000 0.000
Dy2 0.500 0.500 0.500
Br1 0.157 0.201 0.955
Br2 0.157 0.299 0.455
Br3 0.258 0.705 0.957
Br4 0.258 0.795 0.457
Br5 0.335 0.018 0.747
Br6 0.335 0.482 0.247
Br7 0.665 0.518 0.753
Br8 0.665 0.982 0.253
Br9 0.742 0.205 0.543
Br10 0.742 0.295 0.043
Br11 0.843 0.701 0.545
Br12 0.843 0.799 0.045


[2]
Computed, not measured: a relaxed structure of KLi2DyBr6 at the PBE level of DFT.

Values from the calculation:
**Symmetry**: R3
**Crystal system**: trigonal

Cell lengths 7.880, 7.880, 7.880 Å; angles 55.03, 55.03, 55.03 degrees
Fractional coordinates of all 10 atoms:
K1 0.000 0.000 0.000
Li1 0.286 0.286 0.286
Li2 0.795 0.795 0.795
Dy1 0.482 0.482 0.482
Br1 0.066 0.642 0.462
Br2 0.213 0.545 0.891
Br3 0.462 0.066 0.642
Br4 0.545 0.891 0.213
Br5 0.642 0.462 0.066
Br6 0.891 0.213 0.545


no.,electronic total energy (eV per atom),total magnetization (μB/atom)
1,-3.6455,0.000
2,-3.6510,0.000